The following is a PBE calculation of crystalline VTcTe2 at its relaxed geometry, from the Alexandria database.

Properties
Polymorph energy (0 for the lowest one) = 230.1 meV/atom
Crystal system = trigonal
Raw formation energy = 0.474 eV/atom
Total magnetic moment = 2.5 μB/f.u.

Cell lengths 3.3866, 3.3866, 27.1282 Å; angles 90.00, 90.00, 120.00 degrees
Space group R-3m (No. 166, hexagonal axes)
One atom of each set of equivalent atoms:
V (0.0000, 0.0000, 0.0000)
Tc (0.0000, 0.0000, 0.5000)
Te (0.0000, 0.0000, 0.0974)


The following is a PBE calculation of crystalline VTc2Te at its relaxed geometry, from the Alexandria database.

Properties
Crystal system = tetragonal
Raw formation energy = 0.575 eV/atom
Total magnetic moment = 0.9 μB/f.u.

Cell lengths 4.014, 4.014, 17.811 Å; angles 90.00, 90.00, 90.00 degrees
Space group I-42d (No. 122)
One atom of each set of equivalent atoms:
V (0.000, 0.000, 0.000)
Tc (0.195, 0.250, 0.125)
Te (0.000, 0.000, 0.500)